Here is a relaxed structure of Rb2BiOsBr6 from the Alexandria database. Energies are from PBE. Values from VASP.

Quantum ESPRESSO input file:
```
&SYSTEM
  ibrav = 0, nat = 10, ntyp = 4
/
ATOMIC_SPECIES
Br 79.90 Br.upf
Os 190.23 Os.upf
Bi 208.98 Bi.upf
Rb 85.47 Rb.upf
CELL_PARAMETERS angstrom
7.807 0.000 0.000
0.000 7.807 0.000
3.903 3.903 5.565
ATOMIC_POSITIONS angstrom
Br 3.903 3.903 2.570
Br 7.807 7.807 2.995
Br 2.092 2.092 0.000
Br 5.714 5.714 0.000
Br 5.714 2.092 0.000
Br 2.092 5.714 0.000
Os 3.903 3.903 0.000
Bi 0.000 0.000 0.000
Rb 7.807 3.903 2.782
Rb 3.903 7.807 2.782
```

Values from the calculation:
N(E_F)	5.40	states/eV/f.u.
E_tot	-3.3489	eV/atom
size of the total moment	0.00	μB/f.u.



Here is a relaxed structure of RbBi2OsBr from the Alexandria database. Energies are from PBE. Values from VASP.

Quantum ESPRESSO input file:
```
&SYSTEM
  ibrav = 0, nat = 5, ntyp = 4
/
ATOMIC_SPECIES
Br 79.90 Br.upf
Os 190.23 Os.upf
Bi 208.98 Bi.upf
Rb 85.47 Rb.upf
CELL_PARAMETERS angstrom
-2.011 0.404 -4.727
6.586 -1.000 -2.887
-0.812 -5.088 -0.090
ATOMIC_POSITIONS angstrom
Br 1.882 -2.842 -3.852
Os 0.000 0.000 0.000
Bi -0.406 -2.544 -0.045
Bi -1.006 0.202 -2.364
Rb 3.293 -0.500 -1.444
```

Values from the calculation:
N(E_F)	3.82	states/eV/f.u.
E_tot	-4.1550	eV/atom
size of the total moment	0.00	μB/f.u.



Here is a relaxed structure of BiOsSe2Br from the Alexandria database. Energies are from PBE. Values from VASP.

Quantum ESPRESSO input file:
```
&SYSTEM
  ibrav = 0, nat = 5, ntyp = 4
/
ATOMIC_SPECIES
Se 78.96 Se.upf
Os 190.23 Os.upf
Bi 208.98 Bi.upf
Br 79.90 Br.upf
CELL_PARAMETERS angstrom
-0.085 -3.910 -2.952
0.396 -2.948 3.894
-5.065 -0.177 0.381
ATOMIC_POSITIONS angstrom
Se 0.198 -1.474 1.947
Se -0.043 -1.955 -1.476
Os 0.000 0.000 0.000
Bi -2.377 -3.518 0.662
Br -2.532 -0.089 0.190
```

Values from the calculation:
N(E_F)	4.79	states/eV/f.u.
E_tot	-4.3046	eV/atom
size of the total moment	0.00	μB/f.u.